[1]
# PBE CsNaNiCl6, optimized geometry
data_CsNaNiCl6
_cell_length_a 6.820
_cell_length_b 6.820
_cell_length_c 7.360
_cell_angle_alpha 90.01
_cell_angle_beta 89.99
_cell_angle_gamma 59.98
_space_group_name_H-M_alt 'P 1'
_space_group_IT_number 1
loop_
_space_group_symop_operation_xyz
'x,y,z'
loop_
_atom_site_label
_atom_site_fract_x
_atom_site_fract_y
_atom_site_fract_z
Cs1 0.000 0.000 0.000
Na1 0.667 0.667 0.500
Ni1 0.333 0.333 0.500
Cl1 0.061 0.341 0.322
Cl2 0.342 0.061 0.678
Cl3 0.597 0.342 0.678
Cl4 0.061 0.597 0.678
Cl5 0.342 0.597 0.322
Cl6 0.598 0.061 0.322
# Symmetry: No. 149

=====

[2]
# PBE CsNaNi2Cl8, optimized geometry
data_CsNaNi2Cl8
_cell_length_a 6.587
_cell_length_b 6.587
_cell_length_c 10.385
_cell_angle_alpha 71.51
_cell_angle_beta 71.51
_cell_angle_gamma 60.00
_space_group_name_H-M_alt 'P 1'
_space_group_IT_number 1
loop_
_space_group_symop_operation_xyz
'x,y,z'
loop_
_atom_site_label
_atom_site_fract_x
_atom_site_fract_y
_atom_site_fract_z
Cs1 0.500 0.500 0.500
Na1 0.000 0.000 0.000
Ni1 0.251 0.251 0.246
Ni2 0.749 0.749 0.754
Cl1 0.177 0.177 0.470
Cl2 0.580 0.289 0.177
Cl3 0.823 0.823 0.530
Cl4 0.953 0.580 0.177
Cl5 0.047 0.420 0.823
Cl6 0.289 0.953 0.177
Cl7 0.711 0.047 0.823
Cl8 0.420 0.711 0.823
# Symmetry: No. 148

=====

[3]
# PBE CsNaNiCl4, optimized geometry
data_CsNaNiCl4
_cell_length_a 5.781
_cell_length_b 7.409
_cell_length_c 10.233
_cell_angle_alpha 90.00
_cell_angle_beta 108.04
_cell_angle_gamma 90.00
_space_group_name_H-M_alt 'P 1'
_space_group_IT_number 1
loop_
_space_group_symop_operation_xyz
'x,y,z'
loop_
_atom_site_label
_atom_site_fract_x
_atom_site_fract_y
_atom_site_fract_z
Cs1 0.660 0.750 0.885
Cs2 0.340 0.250 0.115
Na1 0.888 0.750 0.503
Na2 0.112 0.250 0.497
Ni1 0.197 0.750 0.294
Ni2 0.803 0.250 0.706
Cl1 0.054 0.487 0.714
Cl2 0.946 0.987 0.286
Cl3 0.946 0.513 0.286
Cl4 0.054 0.013 0.714
Cl5 0.270 0.750 0.092
Cl6 0.730 0.250 0.908
Cl7 0.416 0.750 0.517
Cl8 0.584 0.250 0.483
# Symmetry: No. 11

=====

[4]
# PBE CsNa2NpCl8, optimized geometry
data_CsNa2NpCl8
_cell_length_a 5.986
_cell_length_b 7.789
_cell_length_c 10.727
_cell_angle_alpha 65.96
_cell_angle_beta 80.37
_cell_angle_gamma 91.09
_space_group_name_H-M_alt 'P 1'
_space_group_IT_number 1
loop_
_space_group_symop_operation_xyz
'x,y,z'
loop_
_atom_site_label
_atom_site_fract_x
_atom_site_fract_y
_atom_site_fract_z
Cs1 0.000 0.000 0.500
Na1 0.449 0.352 0.677
Na2 0.551 0.648 0.323
Np1 0.000 0.000 0.000
Cl1 0.134 0.786 0.222
Cl2 0.740 0.720 0.034
Cl3 0.704 0.084 0.154
Cl4 0.866 0.214 0.778
Cl5 0.260 0.280 0.966
Cl6 0.296 0.916 0.846
Cl7 0.485 0.722 0.545
Cl8 0.515 0.278 0.455
# Symmetry: No. 2

=====

Let's list formation energy without anion corrections in order: -23.91, -21.30, -29.90, -37.74 kcal/mol of atoms.
Let's list total moment in order: 0.000, 6.109, 4.000, 1.950 μB per cell.